Below is a relaxed structure of Pm4BBr2N, with properties calculated at the PBE level.

Output
The symmetry is P2/m.

abc: 3.8441 6.5435 7.7124
angles: 107.08 90.00 90.00
Closest atoms and distances in Å follow each position.
Fractional positions:
Pm 0.5000 0.2213 0.1820  2 N 2.56, 1 B 2.61
Pm 0.5000 0.7787 0.8180  2 N 2.56, 1 B 2.61
Pm 0.0000 0.2602 0.8134  1 N 2.53, 2 B 2.63
Pm 0.0000 0.7398 0.1866  1 N 2.53, 2 B 2.63
B 0.5000 0.5000 0.0000  6 Pm 2.61-2.63
Br 0.5000 0.0000 0.5000  6 Pm 3.17-3.19
Br 0.0000 0.5000 0.5000  6 Pm 3.23-3.25
N 0.0000 0.0000 0.0000  6 Pm 2.53-2.56



Below is a relaxed structure of Pm6B2Br3N, with properties calculated at the PBE level.

Output
The symmetry is C2/m.

abc: 6.6894 6.6894 7.6968
angles: 98.32 98.32 120.00
Closest atoms and distances in Å follow each position.
Fractional positions:
Pm 0.9379 0.6135 0.8132  1 N 2.57, 2 B 2.65
Pm 0.7382 0.7382 0.1873  1 N 2.57, 2 B 2.65
Pm 0.0621 0.3865 0.1868  1 N 2.57, 2 B 2.65
Pm 0.6135 0.9379 0.8132  1 N 2.57, 2 B 2.65
Pm 0.2618 0.2618 0.8127  1 N 2.57, 2 B 2.65
Pm 0.3865 0.0621 0.1868  1 N 2.57, 2 B 2.65
B 0.3335 0.6665 0.0000  6 Pm 2.65
B 0.6665 0.3335 0.0000  6 Pm 2.65
Br 0.1698 0.8302 0.5000  6 Pm 3.19-3.23
Br 0.8302 0.1698 0.5000  6 Pm 3.19-3.23
Br 0.5000 0.5000 0.5000  6 Pm 3.19-3.25
N 0.0000 0.0000 0.0000  6 Pm 2.57



Below is a relaxed structure of BPt2BrN, with properties calculated at the PBE level.

Output
The symmetry is P4/mmm.

abc: 3.8836 8.5088 3.8836
angles: 90.00 90.00 90.00
Closest atoms and distances in Å follow each position.
Fractional positions:
B 0.0000 0.5000 0.0000  4 Br 2.75
Br 0.5000 0.5000 0.5000  4 B 2.75
Pt 0.0000 0.0000 0.5000  2 N 1.94
Pt 0.5000 0.0000 0.0000  2 N 1.94
N 0.0000 0.0000 0.0000  4 Pt 1.94



Below is a relaxed structure of Rb2BBr6N, with properties calculated at the PBE level.

Output
The symmetry is I4/mmm.

abc: 7.6393 7.6393 7.5724
angles: 59.71 59.71 90.00
Closest atoms and distances in Å follow each position.
Fractional positions:
B 0.5000 0.5000 0.0000  4 Br 2.19
Br 0.2087 0.2087 0.5826  1 N 2.21
Br 0.7913 0.7913 0.4174  1 N 2.21
Br 0.2975 0.2975 0.0000  1 B 2.19
Br 0.7025 0.7025 0.0000  1 B 2.19
Br 0.7025 0.2975 0.0000  1 B 2.19
Br 0.2975 0.7025 0.0000  1 B 2.19
Rb 0.7500 0.2500 0.5000  12 Br 3.82-3.84
Rb 0.2500 0.7500 0.5000  12 Br 3.82-3.84
N 0.0000 0.0000 0.0000  2 Br 2.21



Below is a relaxed structure of BSBrN2, with properties calculated at the PBE level.

Output
The symmetry is P4/mmm. For the offset from the most stable computed form, the calculation gives 0.000 eV per atom.

abc: 3.3059 7.3724 3.3059
angles: 90.00 90.00 90.00
Closest atoms and distances in Å follow each position.
Fractional positions:
S 0.0000 0.5000 0.0000  4 Br 2.34
B 0.0000 0.0000 0.0000  4 N 1.65
Br 0.5000 0.5000 0.5000  4 S 2.34
N 0.0000 0.0000 0.5000  2 B 1.65
N 0.5000 0.0000 0.0000  2 B 1.65



Below is a relaxed structure of BS2BrN, with properties calculated at the PBE level.

Output
The symmetry is P4/mmm. For the offset from the most stable computed form, the calculation gives 0.000 eV per atom.

abc: 8.2227 8.2227 2.5106
angles: 90.00 90.00 90.00
Closest atoms and distances in Å follow each position.
Fractional positions:
S 0.0000 0.5000 0.0000  2 S 2.51
S 0.5000 0.0000 0.0000  2 S 2.51
B 0.0000 0.0000 0.0000  2 N 1.26
Br 0.5000 0.5000 0.5000  2 Br 2.51
N 0.0000 0.0000 0.5000  2 B 1.26



Density of states at the Fermi level (states/eV/atom)
0.496; 0.302; 0.545; 0.000; 0.535; 1.535
Mass density (Mg/m³)
6.8; 6.7; 6.4; 3.6; 3.1; 1.7
Formation energy from raw total energies (eV per formula unit)
-8.84; -11.94; 5.93; -1.91; 7.12; 2.17